The following is a GGA-PBE calculation of a relaxed Ca2YCl crystal, from Alexandria via LeMat-Bulk.

Calculated values
formation energy without anion corrections	-54.02	kJ per mole of atoms
volume	265	Å³ per cell
total magnetic moment	0.00	μB/cell
polymorph energy (0 for the lowest one)	211	meV/atom
DOS(E_F)	9.52	states/eV/cell

CIF file:
```
data_Ca2YCl
_chemical_formula_sum 'Ca4 Y2 Cl2'
_space_group_name_H-M_alt 'C 1 m 1'
_space_group_IT_number 8
_cell_length_a 12.776
_cell_length_b 3.649
_cell_length_c 6.325
_cell_angle_alpha 90.00
_cell_angle_beta 116.13
_cell_angle_gamma 90.00
loop_
_space_group_symop_operation_xyz
'x,y,z'
'x,-y,z'
'x+1/2,y+1/2,z'
'x+1/2,-y+1/2,z'
loop_
_atom_site_label
_atom_site_type_symbol
_atom_site_fract_x
_atom_site_fract_y
_atom_site_fract_z
_atom_site_occupancy
Ca1 Ca 0.000 0.000 0.000 1
Ca2 Ca 0.191 0.000 0.666 1
Y1 Y 0.288 0.500 0.245 1
Cl1 Cl 0.435 0.000 0.606 1
```